# 1
# Th6C2Se3S PBE optimized geometry
data_Th6C2Se3S
_symmetry_space_group_name_H-M 'C 1 2/m 1'
_symmetry_Int_Tables_number 12
_cell_length_a 17.946
_cell_length_b 3.941
_cell_length_c 8.345
_cell_angle_alpha 90.00
_cell_angle_beta 106.86
_cell_angle_gamma 90.00
loop_
_symmetry_equiv_pos_as_xyz
'x,y,z'
'-x,-y,-z'
'-x,y,-z'
'x,-y,z'
'x+1/2,y+1/2,z'
'-x+1/2,-y+1/2,-z'
'-x+1/2,y+1/2,-z'
'x+1/2,-y+1/2,z'
loop_
_atom_site_label
_atom_site_type_symbol
_atom_site_fract_x
_atom_site_fract_y
_atom_site_fract_z
Th1 Th 0.015 0.000 0.247
Th2 Th 0.165 0.500 0.120
Th3 Th 0.178 0.500 0.557
C1 C 0.170 0.000 0.335
Se1 Se 0.000 0.500 0.500
Se2 Se 0.163 0.000 0.833
S1 S 0.000 0.500 0.000
# - Volume: 282.39 Å³/f.u.
# - ρ: 9.91 Mg/m³
# - Formation energy (no corrections): -123.06 kJ/mol of atoms


# 2
# Th4CSe2S PBE optimized geometry
data_Th4CSe2S
_symmetry_space_group_name_H-M 'P 1 2/m 1'
_symmetry_Int_Tables_number 10
_cell_length_a 6.977
_cell_length_b 3.972
_cell_length_c 7.261
_cell_angle_alpha 90.00
_cell_angle_beta 108.20
_cell_angle_gamma 90.00
loop_
_symmetry_equiv_pos_as_xyz
'x,y,z'
'-x,-y,-z'
'-x,y,-z'
'x,-y,z'
loop_
_atom_site_label
_atom_site_type_symbol
_atom_site_fract_x
_atom_site_fract_y
_atom_site_fract_z
Th1 Th 0.221 0.000 0.209
Th2 Th 0.243 0.500 0.780
C1 C 0.000 0.500 0.000
Se1 Se 0.000 0.000 0.500
Se2 Se 0.500 0.500 0.500
S1 S 0.500 0.000 0.000
# - Volume: 191.18 Å³/f.u.
# - ρ: 9.82 Mg/m³
# - Formation energy (no corrections): -132.18 kJ/mol of atoms


# 3
# Tm6C3SeS2 PBE optimized geometry
data_Tm6C3SeS2
_symmetry_space_group_name_H-M 'C 1 2/m 1'
_symmetry_Int_Tables_number 12
_cell_length_a 16.510
_cell_length_b 3.672
_cell_length_c 7.618
_cell_angle_alpha 90.00
_cell_angle_beta 106.28
_cell_angle_gamma 90.00
loop_
_symmetry_equiv_pos_as_xyz
'x,y,z'
'-x,-y,-z'
'-x,y,-z'
'x,-y,z'
'x+1/2,y+1/2,z'
'-x+1/2,-y+1/2,-z'
'-x+1/2,y+1/2,-z'
'x+1/2,-y+1/2,z'
loop_
_atom_site_label
_atom_site_type_symbol
_atom_site_fract_x
_atom_site_fract_y
_atom_site_fract_z
Tm1 Tm 0.010 0.000 0.222
Tm2 Tm 0.159 0.500 0.105
Tm3 Tm 0.178 0.500 0.562
C1 C 0.000 0.500 0.000
C2 C 0.167 0.000 0.332
Se1 Se 0.000 0.500 0.500
S1 S 0.167 0.000 0.833
# - Volume: 221.67 Å³/f.u.
# - ρ: 8.93 Mg/m³
# - Formation energy (no corrections): -123.69 kJ/mol of atoms


# 4
# Tm4CSe2S PBE optimized geometry
data_Tm4CSe2S
_symmetry_space_group_name_H-M 'P 1 2/m 1'
_symmetry_Int_Tables_number 10
_cell_length_a 6.664
_cell_length_b 3.792
_cell_length_c 6.840
_cell_angle_alpha 90.00
_cell_angle_beta 108.60
_cell_angle_gamma 90.00
loop_
_symmetry_equiv_pos_as_xyz
'x,y,z'
'-x,-y,-z'
'-x,y,-z'
'x,-y,z'
loop_
_atom_site_label
_atom_site_type_symbol
_atom_site_fract_x
_atom_site_fract_y
_atom_site_fract_z
Tm1 Tm 0.214 0.000 0.207
Tm2 Tm 0.235 0.500 0.785
C1 C 0.000 0.500 0.000
Se1 Se 0.000 0.000 0.500
Se2 Se 0.500 0.500 0.500
S1 S 0.500 0.000 0.000
# - Volume: 163.80 Å³/f.u.
# - ρ: 8.90 Mg/m³
# - Formation energy (no corrections): -149.53 kJ/mol of atoms


# 5
# Tm8C3Se3S PBE optimized geometry
data_Tm8C3Se3S
_symmetry_space_group_name_H-M 'R -3 m'
_symmetry_Int_Tables_number 166
_symmetry_space_group_name_Hall '-R 3 2"'
_cell_length_a 7.4567
_cell_length_b 7.4567
_cell_length_c 19.0472
_cell_angle_alpha 90.00
_cell_angle_beta 90.00
_cell_angle_gamma 120.00
loop_
_atom_site_label
_atom_site_type_symbol
_atom_site_fract_x
_atom_site_fract_y
_atom_site_fract_z
Tm1 Tm 0.0000 0.0000 0.2341
Tm2 Tm 0.0261 0.5130 0.7616
C1 C 0.0000 0.5000 0.5000
Se1 Se 0.0000 0.5000 0.0000
S1 S 0.0000 0.0000 0.5000
# - Volume: 305.72 Å³/f.u.
# - ρ: 9.00 Mg/m³
# - Formation energy (no corrections): -118.35 kJ/mol of atoms


# 6
# Tm8CSe4S3 PBE optimized geometry
data_Tm8CSe4S3
_symmetry_space_group_name_H-M 'R -3 m'
_symmetry_Int_Tables_number 166
_symmetry_space_group_name_Hall '-R 3 2"'
_cell_length_a 7.7351
_cell_length_b 7.7351
_cell_length_c 19.5094
_cell_angle_alpha 90.00
_cell_angle_beta 90.00
_cell_angle_gamma 120.00
loop_
_atom_site_label
_atom_site_type_symbol
_atom_site_fract_x
_atom_site_fract_y
_atom_site_fract_z
Tm1 Tm 0.0000 0.0000 0.2416
Tm2 Tm 0.0262 0.5131 0.2374
C1 C 0.0000 0.0000 0.5000
Se1 Se 0.0000 0.0000 0.0000
Se2 Se 0.0000 0.5000 0.0000
S1 S 0.0000 0.5000 0.5000
# - Volume: 336.96 Å³/f.u.
# - ρ: 8.75 Mg/m³
# - Formation energy (no corrections): -163.22 kJ/mol of atoms


Which of these has the highest ρ?
Th6C2Se3S


Which formula does entry 4 have?
Tm4CSe2S


Look up the formation energy (no corrections) of the second one.
-132.18 kJ/mol of atoms